1.
Below is a geometry-optimized La3NdSe4 structure, with properties calculated at the PBE-GGA level.

Unit cell a=7.4542 b=8.5328 c=7.4556 alpha=90.00 beta=109.35 gamma=90.00
Element x y z (fractional)
La1 0.0000 0.1248 0.2500
La2 0.0000 0.3745 0.7500
La3 0.0000 0.6255 0.2500
La4 0.0000 0.8752 0.7500
La5 0.5000 0.3744 0.2500
La6 0.5000 0.6256 0.7500
Nd1 0.5000 0.1246 0.7500
Nd2 0.5000 0.8754 0.2500
Se1 0.2517 0.3734 0.5018
Se2 0.2517 0.6266 0.0018
Se3 0.2532 0.1232 0.0000
Se4 0.2532 0.8768 0.5000
Se5 0.7468 0.1232 0.5000
Se6 0.7468 0.8768 0.0000
Se7 0.7483 0.3734 0.9982
Se8 0.7483 0.6266 0.4982

Summary:
Total DFT energy (no corrections) (eV/f.u.): -49.2
Symmetry: P2/c, No. 13

=====

2.
Below is a geometry-optimized LaNd4Se7 structure, with properties calculated at the PBE-GGA level.

Unit cell a=7.2995 b=7.2995 c=12.5650 alpha=104.09 beta=104.09 gamma=32.83
Element x y z (fractional)
La1 0.0000 0.0000 0.0000
Nd1 0.1129 0.1129 0.4219
Nd2 0.2251 0.2251 0.8400
Nd3 0.4125 0.4125 0.6096
Nd4 0.8128 0.8128 0.2345
Se1 0.0701 0.0701 0.6363
Se2 0.1558 0.1558 0.2076
Se3 0.3693 0.3693 0.0709
Se4 0.4534 0.4534 0.3715
Se5 0.6140 0.6140 0.9192
Se6 0.7726 0.7726 0.4715
Se7 0.8522 0.8522 0.7695

Summary:
Total DFT energy (no corrections) (eV/f.u.): -71.2
Symmetry: Cm, No. 8

=====

3.
Below is a geometry-optimized La5NdSe6 structure, with properties calculated at the PBE-GGA level.

Unit cell a=7.4551 b=7.4551 c=7.4440 alpha=99.66 beta=99.66 gamma=120.10
Element x y z (fractional)
La1 0.0000 0.0000 0.0000
La2 0.1662 0.8338 0.5000
La3 0.3329 0.6671 0.0000
La4 0.6671 0.3329 0.0000
La5 0.8338 0.1662 0.5000
Nd1 0.5000 0.5000 0.5000
Se1 0.0864 0.4175 0.2520
Se2 0.2523 0.2523 0.7490
Se3 0.4175 0.0864 0.2520
Se4 0.5825 0.9136 0.7480
Se5 0.7477 0.7477 0.2510
Se6 0.9136 0.5825 0.7480

Summary:
Total DFT energy (no corrections) (eV/f.u.): -74.0
Symmetry: C2/m, No. 12

=====

4.
Below is a geometry-optimized LaNd2SmSe4 structure, with properties calculated at the PBE-GGA level.

Unit cell a=7.3443 b=4.2017 c=7.3803 alpha=90.00 beta=109.06 gamma=90.00
Element x y z (fractional)
La1 0.0000 0.0000 0.0000
Nd1 0.5000 0.0000 0.5000
Nd2 0.5000 0.5000 0.0000
Sm1 0.0000 0.5000 0.5000
Se1 0.2478 0.0000 0.7450
Se2 0.2514 0.5000 0.2550
Se3 0.7486 0.5000 0.7450
Se4 0.7522 0.0000 0.2550

Summary:
Total DFT energy (no corrections) (eV/f.u.): -48.1
Symmetry: P2/m, No. 10

=====

5.
Below is a geometry-optimized La3Nd3SmSe8 structure, with properties calculated at the PBE-GGA level.

Unit cell a=8.5402 b=8.5402 c=8.5402 alpha=59.54 beta=59.54 gamma=59.54
Element x y z (fractional)
La1 0.0000 0.5000 0.5000
La2 0.5000 0.0000 0.5000
La3 0.5000 0.5000 0.0000
Nd1 0.0000 0.0000 0.5000
Nd2 0.0000 0.5000 0.0000
Nd3 0.5000 0.0000 0.0000
Sm1 0.5000 0.5000 0.5000
Se1 0.2486 0.2486 0.2486
Se2 0.2490 0.7479 0.7479
Se3 0.2521 0.2521 0.7510
Se4 0.2521 0.7510 0.2521
Se5 0.7479 0.2490 0.7479
Se6 0.7479 0.7479 0.2490
Se7 0.7510 0.2521 0.2521
Se8 0.7514 0.7514 0.7514

Summary:
Total DFT energy (no corrections) (eV/f.u.): -90.8
Symmetry: R-3m, No. 166

=====

6.
Below is a geometry-optimized La4Nd3SmSe8 structure, with properties calculated at the PBE-GGA level.

Unit cell a=8.5208 b=8.5208 c=8.5208 alpha=60.16 beta=60.16 gamma=60.16
Element x y z (fractional)
La1 0.0000 0.0000 0.0000
La2 0.0000 0.5000 0.5000
La3 0.5000 0.0000 0.5000
La4 0.5000 0.5000 0.0000
Nd1 0.0000 0.0000 0.5000
Nd2 0.0000 0.5000 0.0000
Nd3 0.5000 0.0000 0.0000
Sm1 0.5000 0.5000 0.5000
Se1 0.2485 0.2485 0.2485
Se2 0.2504 0.7466 0.7466
Se3 0.2534 0.2534 0.7496
Se4 0.2534 0.7496 0.2534
Se5 0.7466 0.2504 0.7466
Se6 0.7466 0.7466 0.2504
Se7 0.7496 0.2534 0.2534
Se8 0.7515 0.7515 0.7515

Summary:
Total DFT energy (no corrections) (eV/f.u.): -97.3
Symmetry: R-3m, No. 166

=====

7.
Below is a geometry-optimized LaNdSm2Se4 structure, with properties calculated at the PBE-GGA level.

Unit cell a=7.3175 b=4.1815 c=7.3603 alpha=90.00 beta=109.00 gamma=90.00
Element x y z (fractional)
La1 0.0000 0.0000 0.0000
Nd1 0.5000 0.5000 0.0000
Sm1 0.0000 0.5000 0.5000
Sm2 0.5000 0.0000 0.5000
Se1 0.2496 0.0000 0.7433
Se2 0.2549 0.5000 0.2585
Se3 0.7451 0.5000 0.7415
Se4 0.7504 0.0000 0.2567

Summary:
Total DFT energy (no corrections) (eV/f.u.): -48.0
Symmetry: P2/m, No. 10

=====

8.
Below is a geometry-optimized LaNdSmSe3 structure, with properties calculated at the PBE-GGA level.

Unit cell a=7.3673 b=4.1142 c=11.0362 alpha=90.00 beta=102.73 gamma=90.00
Element x y z (fractional)
La1 0.1551 0.2500 0.1973
La2 0.8449 0.7500 0.8027
Nd1 0.3785 0.2500 0.8699
Nd2 0.6215 0.7500 0.1301
Sm1 0.2674 0.7500 0.5576
Sm2 0.7326 0.2500 0.4424
Se1 0.0458 0.2500 0.6613
Se2 0.2144 0.7500 0.0042
Se3 0.4439 0.7500 0.3442
Se4 0.5561 0.2500 0.6558
Se5 0.7856 0.2500 0.9958
Se6 0.9542 0.7500 0.3387

Summary:
Total DFT energy (no corrections) (eV/f.u.): -35.8
Symmetry: P2_1/m, No. 11

=====

9.
Below is a geometry-optimized La2NdSmSe4 structure, with properties calculated at the PBE-GGA level.

Unit cell a=7.3846 b=4.2289 c=7.3990 alpha=90.00 beta=109.19 gamma=90.00
Element x y z (fractional)
La1 0.0000 0.0000 0.0000
La2 0.0000 0.5000 0.5000
Nd1 0.5000 0.0000 0.5000
Sm1 0.5000 0.5000 0.0000
Se1 0.2565 0.5000 0.2499
Se2 0.2584 0.0000 0.7552
Se3 0.7416 0.0000 0.2448
Se4 0.7435 0.5000 0.7501

Summary:
Total DFT energy (no corrections) (eV/f.u.): -48.6
Symmetry: P2/m, No. 10

=====

10.
Below is a geometry-optimized LaNd4SmSe8 structure, with properties calculated at the PBE-GGA level.

Unit cell a=8.7077 b=8.7077 c=8.7077 alpha=60.15 beta=60.15 gamma=60.15
Element x y z (fractional)
La1 0.0000 0.0000 0.0000
Nd1 0.1268 0.6239 0.6239
Nd2 0.2489 0.2489 0.2489
Nd3 0.6239 0.1268 0.6239
Nd4 0.6239 0.6239 0.1268
Sm1 0.6242 0.6242 0.6242
Se1 0.3813 0.3813 0.3813
Se2 0.3845 0.3845 0.8513
Se3 0.3845 0.8513 0.3845
Se4 0.4038 0.8632 0.8633
Se5 0.8513 0.3845 0.3845
Se6 0.8633 0.4038 0.8633
Se7 0.8633 0.8633 0.4038
Se8 0.8654 0.8654 0.8654

Summary:
Total DFT energy (no corrections) (eV/f.u.): -81.1
Symmetry: R3m, No. 160

=====

11.
Below is a geometry-optimized La2Nd3SmSe6 structure, with properties calculated at the PBE-GGA level.

Unit cell a=7.3698 b=7.3698 c=7.3522 alpha=99.61 beta=99.61 gamma=120.19
Element x y z (fractional)
La1 0.1659 0.8341 0.0000
La2 0.8341 0.1659 0.0000
Nd1 0.0000 0.0000 0.5000
Nd2 0.3313 0.6687 0.5000
Nd3 0.6687 0.3313 0.5000
Sm1 0.5000 0.5000 0.0000
Se1 0.0886 0.4169 0.7497
Se2 0.2569 0.2569 0.2534
Se3 0.4169 0.0886 0.7497
Se4 0.5831 0.9114 0.2503
Se5 0.7431 0.7431 0.7466
Se6 0.9114 0.5831 0.2503

Summary:
Total DFT energy (no corrections) (eV/f.u.): -72.5
Symmetry: C2/m, No. 12

=====

12.
Below is a geometry-optimized La3Nd2SmSe6 structure, with properties calculated at the PBE-GGA level.

Unit cell a=7.3912 b=7.3912 c=7.3746 alpha=99.61 beta=99.61 gamma=120.15
Element x y z (fractional)
La1 0.0000 0.0000 0.0000
La2 0.3319 0.6681 0.0000
La3 0.6681 0.3319 0.0000
Nd1 0.1666 0.8334 0.5000
Nd2 0.8334 0.1666 0.5000
Sm1 0.5000 0.5000 0.5000
Se1 0.0888 0.4192 0.2569
Se2 0.2513 0.2513 0.7446
Se3 0.4192 0.0888 0.2569
Se4 0.5808 0.9112 0.7431
Se5 0.7487 0.7487 0.2554
Se6 0.9112 0.5808 0.7431

Summary:
Total DFT energy (no corrections) (eV/f.u.): -73.0
Symmetry: C2/m, No. 12

=====

Which of these has the highest total DFT energy (no corrections)? LaNdSmSe3